1.
A plane-wave DFT calculation with GGA-PBE was carried out for crystalline SrHgPt2 at its relaxed geometry.

Results
Energy of formation from the pure elements = -0.81 eV/f.u.
DOS at the Fermi energy = 14.71 states/eV per cell

abc: 6.9937 6.9937 6.9937
angles: 90.00 90.00 90.00
With the nearest neighbours (Å) after each atom.
Atoms (fractional coordinates):
Sr: 0.0000 0.0000 0.0000  4 Hg 3.03, 4 Pt 3.03
Sr: 0.0000 0.5000 0.5000  4 Hg 3.03, 4 Pt 3.03
Sr: 0.5000 0.0000 0.5000  4 Hg 3.03, 4 Pt 3.03
Sr: 0.5000 0.5000 0.0000  4 Hg 3.03, 4 Pt 3.03
Hg: 0.2500 0.2500 0.2500  4 Sr 3.03, 4 Pt 3.03
Hg: 0.2500 0.7500 0.7500  4 Sr 3.03, 4 Pt 3.03
Hg: 0.7500 0.2500 0.7500  4 Sr 3.03, 4 Pt 3.03
Hg: 0.7500 0.7500 0.2500  4 Sr 3.03, 4 Pt 3.03
Pt: 0.0000 0.0000 0.5000  4 Pt 3.03, 4 Hg 3.03
Pt: 0.0000 0.5000 0.0000  4 Pt 3.03, 4 Hg 3.03
Pt: 0.2500 0.2500 0.7500  4 Sr 3.03, 4 Pt 3.03
Pt: 0.2500 0.7500 0.2500  4 Sr 3.03, 4 Pt 3.03
Pt: 0.5000 0.0000 0.0000  4 Pt 3.03, 4 Hg 3.03
Pt: 0.5000 0.5000 0.5000  4 Pt 3.03, 4 Hg 3.03
Pt: 0.7500 0.2500 0.2500  4 Sr 3.03, 4 Pt 3.03
Pt: 0.7500 0.7500 0.7500  4 Sr 3.03, 4 Pt 3.03

***

2.
A plane-wave DFT calculation with GGA-PBE was carried out for crystalline SrHg2Pt at its relaxed geometry.

Results
Energy of formation from the pure elements = -1.29 eV/f.u.
DOS at the Fermi energy = 1.41 states/eV per cell

abc: 4.4088 4.4088 5.0649
angles: 90.00 90.00 90.00
With the nearest neighbours (Å) after each atom.
Atoms (fractional coordinates):
Sr: 0.0000 0.0000 0.0000  4 Pt 3.12, 8 Hg 3.36
Hg: 0.0000 0.5000 0.5000  4 Hg 3.12, 4 Pt 3.36, 4 Sr 3.36
Hg: 0.5000 0.0000 0.5000  4 Hg 3.12, 4 Pt 3.36, 4 Sr 3.36
Pt: 0.5000 0.5000 0.0000  4 Sr 3.12, 8 Hg 3.36

***

3.
A plane-wave DFT calculation with GGA-PBE was carried out for crystalline Sr3Hg4Pt2 at its relaxed geometry.

Results
Energy of formation from the pure elements = -5.29 eV/f.u.
DOS at the Fermi energy = 4.12 states/eV per cell

abc: 6.5776 6.5776 10.0296
angles: 114.02 114.02 39.30
With the nearest neighbours (Å) after each atom.
Atoms (fractional coordinates):
Sr: 0.0000 0.0000 0.0000  4 Pt 3.27, 6 Hg 3.43-3.54
Sr: 0.3129 0.3129 0.3805  3 Pt 3.14-3.27, 6 Hg 3.41-3.45
Sr: 0.6871 0.6871 0.6195  3 Pt 3.14-3.27, 6 Hg 3.41-3.45
Hg: 0.0125 0.0125 0.3480  2 Pt 2.84, 1 Hg 3.18
Hg: 0.2547 0.2547 0.9031  1 Pt 2.81, 2 Hg 2.98
Hg: 0.7453 0.7453 0.0969  1 Pt 2.81, 2 Hg 2.98
Hg: 0.9875 0.9875 0.6520  2 Pt 2.84, 1 Hg 3.18
Pt: 0.3866 0.3866 0.7353  3 Hg 2.81-2.84, 2 Sr 3.14
Pt: 0.6134 0.6134 0.2647  3 Hg 2.81-2.84, 2 Sr 3.14

***

4.
A plane-wave DFT calculation with GGA-PBE was carried out for crystalline SrHg2Pt at its relaxed geometry.

Results
Energy of formation from the pure elements = -0.96 eV/f.u.
DOS at the Fermi energy = 2.92 states/eV per cell

abc: 6.0761 11.2631 4.3456
angles: 90.00 134.18 90.00
With the nearest neighbours (Å) after each atom.
Atoms (fractional coordinates):
Sr: 0.0000 0.0000 0.0000  4 Pt 3.04-3.12, 4 Hg 3.22
Sr: 0.5000 0.5000 0.0000  4 Pt 3.04-3.12, 4 Hg 3.22
Hg: 0.2500 0.2500 0.5000  4 Hg 3.04-3.12, 2 Sr 3.22, 2 Pt 3.22
Hg: 0.2500 0.7500 0.5000  4 Hg 3.04-3.12, 2 Pt 3.22, 2 Sr 3.22
Hg: 0.7500 0.2500 0.5000  4 Hg 3.04-3.12, 2 Sr 3.22, 2 Pt 3.22
Hg: 0.7500 0.7500 0.5000  4 Hg 3.04-3.12, 2 Sr 3.22, 2 Pt 3.22
Pt: 0.0000 0.5000 0.0000  4 Sr 3.04-3.12, 4 Hg 3.22
Pt: 0.5000 0.0000 0.0000  4 Sr 3.04-3.12, 4 Hg 3.22

***

5.
A plane-wave DFT calculation with GGA-PBE was carried out for crystalline SrHgPt2 at its relaxed geometry.

Results
Energy of formation from the pure elements = -1.65 eV/f.u.
DOS at the Fermi energy = 1.77 states/eV per cell

abc: 4.2739 4.5951 5.4001
angles: 90.00 92.24 90.00
With the nearest neighbours (Å) after each atom.
Atoms (fractional coordinates):
Sr: 0.0000 0.0000 0.0000  6 Pt 3.08-3.30
Hg: 0.4966 0.5000 0.6969  4 Pt 2.65-2.76
Pt: 0.5080 0.5000 0.1877  2 Pt 2.60, 2 Hg 2.65-2.75
Pt: 0.5149 0.0000 0.4147  2 Pt 2.60, 2 Hg 2.76

***

6.
A plane-wave DFT calculation with GGA-PBE was carried out for crystalline SrHg4Pt at its relaxed geometry.

Results
Energy of formation from the pure elements = -0.56 eV/f.u.
DOS at the Fermi energy = 1.07 states/eV per cell

abc: 5.9115 5.9115 5.9115
angles: 60.00 60.00 60.00
With the nearest neighbours (Å) after each atom.
Atoms (fractional coordinates):
Sr: 0.0000 0.0000 0.0000  12 Hg 3.47, 4 Pt 3.62
Hg: 0.1271 0.6243 0.6243  6 Hg 2.94-2.97
Hg: 0.6243 0.1271 0.6243  6 Hg 2.94-2.97
Hg: 0.6243 0.6243 0.1271  6 Hg 2.94-2.97
Hg: 0.6243 0.6243 0.6243  6 Hg 2.94-2.97
Pt: 0.2500 0.2500 0.2500  12 Hg 3.46, 4 Sr 3.62

***

7.
A plane-wave DFT calculation with GGA-PBE was carried out for crystalline Sr3Hg7Pt4 at its relaxed geometry.

Results
Energy of formation from the pure elements = -6.31 eV/f.u.
DOS at the Fermi energy = 5.43 states/eV per cell

abc: 8.9545 8.9545 10.4757
angles: 123.08 123.08 29.53
With the nearest neighbours (Å) after each atom.
Atoms (fractional coordinates):
Sr: 0.0000 0.0000 0.0000  6 Pt 3.41-3.45, 10 Hg 3.70-3.79
Sr: 0.3056 0.3056 0.2956  4 Pt 3.25-3.27, 9 Hg 3.31-3.60
Sr: 0.6944 0.6944 0.7044  4 Pt 3.25-3.27, 9 Hg 3.31-3.60
Hg: 0.0000 0.0000 0.5000  2 Pt 2.80
Hg: 0.1643 0.1643 0.4322  3 Pt 2.86-2.90, 2 Hg 3.20
Hg: 0.3168 0.3168 0.9749  4 Pt 2.74-2.90, 1 Hg 3.05
Hg: 0.4928 0.4928 0.7154  3 Pt 2.79-2.88, 1 Hg 3.05
Hg: 0.5072 0.5072 0.2846  3 Pt 2.79-2.88, 1 Hg 3.05
Hg: 0.6832 0.6832 0.0251  4 Pt 2.74-2.90, 1 Hg 3.05
Hg: 0.8357 0.8357 0.5678  3 Pt 2.86-2.90, 2 Hg 3.20
Pt: 0.1155 0.1155 0.8231  6 Hg 2.80-2.90
Pt: 0.3392 0.3392 0.7358  5 Hg 2.74-2.90
Pt: 0.6608 0.6608 0.2642  5 Hg 2.74-2.90
Pt: 0.8845 0.8845 0.1769  6 Hg 2.80-2.90

***

8.
A plane-wave DFT calculation with GGA-PBE was carried out for crystalline Sr2Hg5Pt5 at its relaxed geometry.

Results
Energy of formation from the pure elements = -4.33 eV/f.u.
DOS at the Fermi energy = 3.79 states/eV per cell

abc: 4.5680 5.7886 10.0385
angles: 90.00 90.00 90.00
With the nearest neighbours (Å) after each atom.
Atoms (fractional coordinates):
Sr: 0.0000 0.0000 0.0000  6 Hg 3.20-3.34
Sr: 0.0000 0.5000 0.5000  10 Hg 3.35-3.69, 8 Pt 3.72
Hg: 0.0000 0.0000 0.3185  4 Pt 2.81, 2 Hg 2.92
Hg: 0.0000 0.0000 0.6815  4 Pt 2.81, 2 Hg 2.92
Hg: 0.0000 0.5000 0.1663  6 Pt 2.81-2.83
Hg: 0.0000 0.5000 0.8337  6 Pt 2.81-2.83
Hg: 0.5000 0.0000 0.5000  4 Hg 2.92, 4 Pt 2.95
Pt: 0.5000 0.2520 0.2450  5 Hg 2.81-2.95, 3 Pt 2.85-2.92
Pt: 0.5000 0.2520 0.7550  5 Hg 2.81-2.95, 3 Pt 2.85-2.92
Pt: 0.5000 0.5000 0.0000  4 Hg 2.83, 4 Pt 2.85
Pt: 0.5000 0.7480 0.2450  5 Hg 2.81-2.95, 3 Pt 2.85-2.92
Pt: 0.5000 0.7480 0.7550  5 Hg 2.81-2.95, 3 Pt 2.85-2.92

***

9.
A plane-wave DFT calculation with GGA-PBE was carried out for crystalline Sr4HgPt at its relaxed geometry.

Results
Energy of formation from the pure elements = -2.99 eV/f.u.
DOS at the Fermi energy = 9.28 states/eV per cell

abc: 9.4837 9.4837 7.5651
angles: 108.29 108.29 117.00
With the nearest neighbours (Å) after each atom.
Atoms (fractional coordinates):
Sr: 0.0651 0.6513 0.8641  1 Pt 2.98
Sr: 0.2105 0.2857 0.7375  2 Pt 3.01-3.09
Sr: 0.2857 0.2105 0.2375  2 Pt 3.01-3.09
Sr: 0.3487 0.9349 0.6359  1 Pt 2.98
Sr: 0.6513 0.0651 0.3641  1 Pt 2.98
Sr: 0.7143 0.7895 0.7625  2 Pt 3.01-3.09
Sr: 0.7895 0.7143 0.2625  2 Pt 3.01-3.09
Sr: 0.9349 0.3487 0.1359  1 Pt 2.98
Hg: 0.3711 0.6289 0.2500  8 Sr 3.36-3.63
Hg: 0.6289 0.3711 0.7500  8 Sr 3.36-3.63
Pt: 0.0727 0.9273 0.7500  6 Sr 2.98-3.09
Pt: 0.9273 0.0727 0.2500  6 Sr 2.98-3.09

***

10.
A plane-wave DFT calculation with GGA-PBE was carried out for crystalline SrHgPt2 at its relaxed geometry.

Results
Energy of formation from the pure elements = -1.96 eV/f.u.
DOS at the Fermi energy = 5.03 states/eV per cell

abc: 8.2159 4.7381 5.7954
angles: 90.00 117.74 90.00
With the nearest neighbours (Å) after each atom.
Atoms (fractional coordinates):
Sr: 0.0000 0.0000 0.0000  2 Pt 2.95
Sr: 0.5000 0.5000 0.0000  2 Pt 2.95
Hg: 0.0000 0.5000 0.5000  6 Pt 2.76
Hg: 0.5000 0.0000 0.5000  6 Pt 2.76
Pt: 0.1915 0.0000 0.5746  3 Hg 2.76, 3 Pt 2.84-2.85, 1 Sr 2.95
Pt: 0.3085 0.5000 0.4254  3 Hg 2.76, 3 Pt 2.84-2.85, 1 Sr 2.95
Pt: 0.6915 0.5000 0.5746  3 Hg 2.76, 3 Pt 2.84-2.85, 1 Sr 2.95
Pt: 0.8085 0.0000 0.4254  3 Hg 2.76, 3 Pt 2.84-2.85, 1 Sr 2.95

***

11.
A plane-wave DFT calculation with GGA-PBE was carried out for crystalline Sr2Hg4Pt at its relaxed geometry.

Results
Energy of formation from the pure elements = -2.08 eV/f.u.
DOS at the Fermi energy = 11.77 states/eV per cell

abc: 5.2530 5.2530 16.5775
angles: 90.00 90.00 90.00
With the nearest neighbours (Å) after each atom.
Atoms (fractional coordinates):
Sr: 0.0000 0.0000 0.1357  5 Hg 3.22-3.46
Sr: 0.0000 0.0000 0.8643  5 Hg 3.22-3.46
Sr: 0.5000 0.5000 0.3643  5 Hg 3.22-3.46
Sr: 0.5000 0.5000 0.6357  5 Hg 3.22-3.46
Hg: 0.0000 0.0000 0.3301  1 Pt 2.82
Hg: 0.0000 0.0000 0.6699  1 Pt 2.82
Hg: 0.0000 0.5000 0.0000  2 Pt 2.63
Hg: 0.0000 0.5000 0.5000  2 Pt 2.63
Hg: 0.5000 0.0000 0.0000  2 Pt 2.63
Hg: 0.5000 0.0000 0.5000  2 Pt 2.63
Hg: 0.5000 0.5000 0.1699  1 Pt 2.82
Hg: 0.5000 0.5000 0.8301  1 Pt 2.82
Pt: 0.0000 0.0000 0.5000  6 Hg 2.63-2.82
Pt: 0.5000 0.5000 0.0000  6 Hg 2.63-2.82

***

12.
A plane-wave DFT calculation with GGA-PBE was carried out for crystalline SrHg3Pt8 at its relaxed geometry.

Results
Energy of formation from the pure elements = -2.19 eV/f.u.
DOS at the Fermi energy = 14.43 states/eV per cell

abc: 9.3841 9.3841 9.3841
angles: 33.72 33.72 33.72
With the nearest neighbours (Å) after each atom.
Atoms (fractional coordinates):
Sr: 0.0000 0.0000 0.0000  12 Pt 3.19-3.22, 4 Hg 3.37-3.38
Hg: 0.3805 0.3805 0.3805  12 Pt 3.13-3.35, 1 Hg 3.21, 3 Sr 3.38
Hg: 0.5017 0.5017 0.5017  12 Pt 3.10-3.19, 4 Hg 3.21-3.30
Hg: 0.8729 0.8729 0.8729  12 Pt 3.09-3.19, 3 Hg 3.30, 1 Sr 3.37
Pt: 0.1876 0.1876 0.1876  6 Pt 2.68-2.69
Pt: 0.4368 0.4368 0.9342  6 Pt 2.68-2.74
Pt: 0.4368 0.9342 0.4368  6 Pt 2.68-2.74
Pt: 0.4419 0.9374 0.9374  6 Pt 2.69-2.75
Pt: 0.6872 0.6872 0.6872  6 Pt 2.74
Pt: 0.9342 0.4368 0.4368  6 Pt 2.68-2.74
Pt: 0.9374 0.4419 0.9374  6 Pt 2.69-2.75
Pt: 0.9374 0.9374 0.4419  6 Pt 2.69-2.75

***

Summary of raw total energy in eV per cell
-59.5, -9.6, -23.6, -18.6, -15.7, -9.5, -37.6, -39.4, -32.1, -32.1, -25.4, -53.1
(order as listed above)